Record 1
A plane-wave DFT calculation with PBE was carried out for a geometry-optimized ScMnGa2 structure.

```
ScMnGa2
1.0
-1.9231 1.9231 9.3178
1.9231 -1.9231 9.3178
1.9231 1.9231 -9.3178
Sc Mn Ga
2 2 4
Cartesian
0.0000 0.0000 0.0000
0.0000 1.9231 4.6589
1.9231 0.0000 4.6589
0.0000 0.0000 9.3178
0.9616 -0.8232 6.9884
1.0999 0.9616 2.3295
0.9616 2.7463 -2.3295
0.8232 0.9616 11.6473
```

The formation energy comes out at 0.206 eV/atom.

=====

Record 2
A plane-wave DFT calculation with PBE was carried out for a geometry-optimized ScMn2Ga structure.

```
ScMn2Ga
1.0
-3.5551 3.5551 2.7306
3.5551 -3.5551 2.7306
3.5551 3.5551 -2.7306
Sc Mn Ga
2 4 2
Cartesian
0.0000 0.0000 0.0000
0.0000 3.5551 1.3653
1.7775 -1.5706 2.0479
1.9845 1.7775 0.6826
1.7775 5.1257 -0.6826
1.5706 1.7775 3.4132
3.5551 0.0000 1.3653
0.0000 0.0000 2.7306
```

The formation energy comes out at 0.302 eV/atom.

=====

Record 3
A plane-wave DFT calculation with PBE was carried out for a geometry-optimized Sr2ScMnGa structure.

```
Sr2ScMnGa
1.0
6.0545 0.0000 0.0000
0.0000 6.0545 0.0000
0.0000 0.0000 4.7698
Sr Sc Mn Ga
2 1 1 1
Cartesian
0.0000 3.0273 0.0000
3.0273 0.0000 0.0000
0.0000 0.0000 2.3849
3.0273 3.0273 2.3849
3.0273 3.0273 0.0000
```

The formation energy comes out at 0.494 eV/atom.

=====

Record 4
A plane-wave DFT calculation with PBE was carried out for a geometry-optimized ScMnGaTc structure.

```
ScMnGaTc
1.0
0.0000 3.1322 3.1322
3.1322 0.0000 3.1322
3.1322 3.1322 0.0000
Sc Mn Ga Tc
1 1 1 1
Cartesian
0.0000 0.0000 0.0000
1.5661 1.5661 1.5661
4.6983 4.6983 4.6983
3.1322 3.1322 3.1322
```

The formation energy comes out at -0.160 eV/atom.

=====

Record 5
A plane-wave DFT calculation with PBE was carried out for a geometry-optimized Sc2MnGaTe structure.

```
Sc2MnGaTe
1.0
5.3029 0.0000 0.0000
0.0000 5.3029 0.0000
0.0000 0.0000 5.3052
Sc Mn Ga Te
2 1 1 1
Cartesian
0.0000 2.6514 0.0000
2.6514 0.0000 0.0000
0.0000 0.0000 2.6526
2.6514 2.6514 2.6526
2.6514 2.6514 0.0000
```

The energy comes out at -4.990 eV/atom.

=====

Record 6
A plane-wave DFT calculation with PBE was carried out for a geometry-optimized TmScMnGa structure.

```
TmScMnGa
1.0
0.0000 3.4223 3.4223
3.4223 0.0000 3.4223
3.4223 3.4223 0.0000
Tm Sc Mn Ga
1 1 1 1
Cartesian
0.0000 0.0000 0.0000
3.4223 3.4223 3.4223
1.7112 1.7112 1.7112
5.1335 5.1335 5.1335
```

The formation energy comes out at -0.196 eV/atom.

=====

Record 7
A plane-wave DFT calculation with PBE was carried out for a geometry-optimized Mn2GaSe2 structure.

```
Mn2GaSe2
1.0
7.3326 -1.8163 0.0000
7.3326 1.8163 0.0000
-0.8933 0.0000 3.5217
Mn Ga Se
2 1 2
Cartesian
0.0000 0.0000 0.0000
6.8865 0.0000 1.7605
3.0093 0.0000 2.6480
8.8925 0.0000 0.3956
12.6586 0.0000 1.3649
```

The excess energy over the best structure of this formula in the dataset comes out at 5.11 kJ per mole of atoms.

=====

Record 8
A plane-wave DFT calculation with PBE was carried out for a geometry-optimized Mn2GaSe2 structure.

```
Mn2GaSe2
1.0
4.3641 0.0000 0.0000
1.5618 4.0837 0.0000
1.0466 0.8504 6.1533
Mn Ga Se
2 1 2
Cartesian
0.0000 0.0000 0.0000
3.9506 4.2906 3.8154
2.1863 2.6299 4.4022
4.8285 3.5228 6.1039
4.5857 0.3688 2.5469
```

The excess energy over the best structure of this formula in the dataset comes out at 5.68 kJ per mole of atoms.